No. 1
This record from Alexandria via LeMat-Bulk describes an optimized crystal structure of VGe2Cl6. The functional is PBE.

Properties
E_form (uncorrected)	-80.46	kJ per mole of atoms
total magnetization	3.0	Bohr magnetons per cell
E	-4.10	eV per atom
calculated volume	28.0	A^3/atom

```
VGe2Cl6
1.0
3.2814 1.8945 6.7472
-3.2814 1.8945 6.7472
0.0000 -3.7891 6.7472
V Ge Cl
1 2 6
Direct
0.0000 0.0000 0.0000
0.6401 0.6401 0.6401
0.7685 0.7685 0.7685
0.1106 0.7500 0.3502
0.2487 0.6507 0.8638
0.3502 0.1106 0.7500
0.6507 0.8638 0.2487
0.7500 0.3502 0.1106
0.8638 0.2487 0.6507
```

=====

No. 2
This record from Alexandria via LeMat-Bulk describes an optimized crystal structure of HgPOF2. The functional is PBE.

Properties
E_form (uncorrected)	-87.43	kJ per mole of atoms
total magnetization	0.0	Bohr magnetons per cell
ΔE to the lowest computed polymorph	0	meV/atom
E	-3.79	eV per atom
calculated volume	14.2	A^3/atom

```
HgPOF2
1.0
4.5203 0.0000 0.0000
0.0000 4.5203 0.0000
0.0000 0.0000 3.4710
Hg P O F
1 1 1 2
Direct
0.0000 0.0000 0.0000
0.5000 0.5000 0.5000
0.5000 0.5000 0.0000
0.0000 0.5000 0.5000
0.5000 0.0000 0.5000
```

=====

No. 3
This record from Alexandria via LeMat-Bulk describes an optimized crystal structure of LiB2C2. The functional is PBE.

Properties
formation energy from the elements	-0.02	eV per atom
total magnetization	0.0	Bohr magnetons per cell
ΔE to the lowest computed polymorph	53	meV/atom
E	-6.76	eV per atom
calculated volume	8.1	A^3/atom

```
LiB2C2
1.0
2.7303 0.0000 0.0000
-1.3651 2.3645 0.0000
0.0000 0.0000 25.0263
Li B C
4 8 8
Direct
0.0000 0.0000 0.0708
0.0000 0.0000 0.2142
0.0000 0.0000 0.7858
0.0000 0.0000 0.9292
0.3333 0.6667 0.0000
0.3333 0.6667 0.2854
0.3333 0.6667 0.5000
0.3333 0.6667 0.7146
0.6667 0.3333 0.1415
0.6667 0.3333 0.4102
0.6667 0.3333 0.5898
0.6667 0.3333 0.8585
0.3333 0.6667 0.1411
0.3333 0.6667 0.4098
0.3333 0.6667 0.5902
0.3333 0.6667 0.8589
0.6667 0.3333 0.0000
0.6667 0.3333 0.2827
0.6667 0.3333 0.5000
0.6667 0.3333 0.7173
```

=====

No. 4
This record from Alexandria via LeMat-Bulk describes an optimized crystal structure of Mn2SiP. The functional is PBE.

Properties
E_form (uncorrected)	-17.36	kJ per mole of atoms
total magnetization	3.2	Bohr magnetons per cell
E	-7.47	eV per atom
calculated volume	12.3	A^3/atom

```
Mn2SiP
1.0
2.7185 0.0000 0.0000
0.0000 4.2860 0.0000
-1.3321 0.0000 4.2095
Mn Si P
2 1 1
Direct
0.0000 0.0000 0.0000
0.3610 0.5000 0.7185
0.7269 0.0000 0.4676
0.0809 0.5000 0.1646
```

=====

No. 5
This record from Alexandria via LeMat-Bulk describes an optimized crystal structure of AgGeRhC2. The functional is PBE.

Properties
formation energy from the elements	2.00	eV per atom
total magnetization	0.0	Bohr magnetons per cell
E	-4.66	eV per atom
calculated volume	15.0	A^3/atom

```
AgGeRhC2
1.0
3.9576 0.0000 0.0000
0.0000 3.9576 0.0000
0.0000 0.0000 4.7780
Ag Ge Rh C
1 1 1 2
Direct
0.0000 0.0000 0.0000
0.5000 0.5000 0.5000
0.5000 0.5000 0.0000
0.0000 0.5000 0.5000
0.5000 0.0000 0.5000
```

=====

No. 6
This record from Alexandria via LeMat-Bulk describes an optimized crystal structure of CsLiFe2I8. The functional is PBE.

Properties
E_form (uncorrected)	-56.42	kJ per mole of atoms
total magnetization	10.0	Bohr magnetons per cell
E	-3.26	eV per atom
calculated volume	42.5	A^3/atom

```
CsLiFe2I8
1.0
7.4400 0.0000 0.0000
-3.7200 6.4433 0.0000
0.0000 0.0000 10.6446
Cs Li Fe I
1 1 2 8
Direct
0.0000 0.0000 0.0000
0.0000 0.0000 0.5000
0.3333 0.6667 0.7447
0.6667 0.3333 0.2553
0.0119 0.3331 0.6698
0.3213 0.9881 0.6698
0.3331 0.3213 0.3302
0.3333 0.6667 0.9849
0.6667 0.3333 0.0151
0.6669 0.6787 0.6698
0.6787 0.0119 0.3302
0.9881 0.6669 0.3302
```

=====

No. 7
This record from Alexandria via LeMat-Bulk describes an optimized crystal structure of AlAg2F5. The functional is PBE.

Properties
E_form (uncorrected)	-218.89	kJ per mole of atoms
total magnetization	0.0	Bohr magnetons per cell
ΔE to the lowest computed polymorph	26	meV/atom
E	-4.62	eV per atom
calculated volume	15.1	A^3/atom

```
AlAg2F5
1.0
1.8608 -6.3426 0.0000
1.8608 6.3426 0.0000
0.0000 0.0000 10.2411
Al Ag F
2 4 10
Direct
0.1517 0.8483 0.7500
0.8483 0.1517 0.2500
0.1275 0.8725 0.1017
0.1275 0.8725 0.3983
0.8725 0.1275 0.6017
0.8725 0.1275 0.8983
0.0530 0.9470 0.6235
0.0530 0.9470 0.8765
0.2544 0.7456 0.6238
0.2544 0.7456 0.8762
0.3433 0.6567 0.2500
0.6567 0.3433 0.7500
0.7456 0.2544 0.1238
0.7456 0.2544 0.3762
0.9470 0.0530 0.1235
0.9470 0.0530 0.3765
```

=====

No. 8
This record from Alexandria via LeMat-Bulk describes an optimized crystal structure of BaLaBe. The functional is PBE.

Properties
formation energy from the elements	0.50	eV per atom
total magnetization	0.0	Bohr magnetons per cell
ΔE to the lowest computed polymorph	202	meV/atom
E	-3.03	eV per atom
calculated volume	36.1	A^3/atom

```
BaLaBe
1.0
3.9582 0.0000 0.0000
-1.9791 3.4279 0.0000
0.0000 0.0000 7.9783
Ba La Be
1 1 1
Direct
0.0000 0.0000 0.0000
0.6667 0.3333 0.5244
0.3333 0.6667 0.2898
```

=====

No. 9
This record from Alexandria via LeMat-Bulk describes an optimized crystal structure of Sm2DyAgSe5. The functional is PBE.

Properties
E_form (uncorrected)	-147.11	kJ per mole of atoms
total magnetization	0.0	Bohr magnetons per cell
E	-5.34	eV per atom
calculated volume	24.9	A^3/atom

```
Sm2DyAgSe5
1.0
2.0622 -8.7023 0.0000
2.0622 8.7023 0.0000
0.0000 0.0000 12.5000
Sm Dy Ag Se
4 2 2 10
Direct
0.1101 0.8899 0.5000
0.1251 0.8749 0.1189
0.8749 0.1251 0.6189
0.8899 0.1101 0.0000
0.1955 0.8045 0.8231
0.8045 0.1955 0.3231
0.4434 0.5566 0.2748
0.5566 0.4434 0.7748
0.0452 0.9548 0.8960
0.2861 0.7139 0.4828
0.3060 0.6940 0.1581
0.3600 0.6400 0.8148
0.4976 0.5024 0.5878
0.5024 0.4976 0.0878
0.6400 0.3600 0.3148
0.6940 0.3060 0.6581
0.7139 0.2861 0.9828
0.9548 0.0452 0.3960
```

=====

No. 10
This record from Alexandria via LeMat-Bulk describes an optimized crystal structure of Ac2NiIr. The functional is PBE.

Properties
formation energy from the elements	-0.33	eV per atom
total magnetization	0.0	Bohr magnetons per cell
ΔE to the lowest computed polymorph	138	meV/atom
E	-6.05	eV per atom
calculated volume	25.3	A^3/atom

```
Ac2NiIr
1.0
0.0000 3.6977 3.6977
3.6977 0.0000 3.6977
3.6977 3.6977 0.0000
Ac Ni Ir
2 1 1
Direct
0.2500 0.2500 0.2500
0.7500 0.7500 0.7500
0.0000 0.0000 0.0000
0.5000 0.5000 0.5000
```

=====

No. 11
This record from Alexandria via LeMat-Bulk describes an optimized crystal structure of Ni2Os. The functional is PBE.

Properties
formation energy from the elements	0.50	eV per atom
total magnetization	0.0	Bohr magnetons per cell
ΔE to the lowest computed polymorph	441	meV/atom
E	-7.09	eV per atom
calculated volume	13.4	A^3/atom

```
Ni2Os
1.0
-2.8810 2.8810 2.4292
2.8810 -2.8810 2.4292
2.8810 2.8810 -2.4292
Ni Os
4 2
Direct
0.1420 0.6420 0.7840
0.3580 0.1420 0.5000
0.6420 0.8580 0.5000
0.8580 0.3580 0.2160
0.2500 0.2500 0.0000
0.7500 0.7500 0.0000
```

=====

No. 12
This record from Alexandria via LeMat-Bulk describes an optimized crystal structure of Tb2SmPu. The functional is PBE.

Properties
formation energy from the elements	0.21	eV per atom
total magnetization	7.1	Bohr magnetons per cell
ΔE to the lowest computed polymorph	112	meV/atom
E	-6.86	eV per atom
calculated volume	31.5	A^3/atom

```
Tb2SmPu
1.0
0.0000 3.9809 3.9809
3.9809 0.0000 3.9809
3.9809 3.9809 0.0000
Tb Sm Pu
2 1 1
Direct
0.2500 0.2500 0.2500
0.7500 0.7500 0.7500
0.0000 0.0000 0.0000
0.5000 0.5000 0.5000
```